(1)
VASP calculation (PBE) on a relaxed SrSmS2 crystal.

a b c (Å): 4.067 4.067 13.949
angles (deg): 90.00 90.00 120.00
Fractional positions:
Sr  0.667  0.333  0.250
Sr  0.333  0.667  0.750
Sm  0.000  0.000  0.500
Sm  0.000  0.000  0.000
S  0.333  0.667  0.384
S  0.667  0.333  0.884
S  0.667  0.333  0.616
S  0.333  0.667  0.116

The uncorrected formation energy is -195 kJ/mol of atoms. As for the symmetry: P6_3/mmc, No. 194. The distance to the lowest polymorph of the same formula is 29 meV/atom.

=====

(2)
VASP calculation (PBE) on a relaxed UCo2NiAs2 crystal.

a b c (Å): 3.736 5.831 8.212
angles (deg): 90.00 90.00 90.00
Last column: magnetic moment on the atom in μB.
Fractional positions:
U  0.000  0.949  0.443  2.14
U  0.000  0.449  0.557  2.14
Co  0.500  0.027  0.073  0.57
Co  0.000  0.374  0.158  0.16
Co  0.500  0.527  0.927  0.57
Co  0.000  0.874  0.842  0.16
Ni  0.500  0.166  0.721  0.01
Ni  0.500  0.666  0.279  0.01
As  0.000  0.262  0.896  0.00
As  0.500  0.267  0.303  -0.03
As  0.000  0.762  0.104  0.00
As  0.500  0.767  0.697  -0.03

The calculation puts the formation energy at -0.26 eV per atom. As for the symmetry: Pmc2_1, No. 26.

=====

(3)
VASP calculation (PBE) on a relaxed TbHfSc2 crystal.

a b c (Å): 5.221 5.221 5.221
angles (deg): 60.00 60.00 60.00
Fractional positions:
Sc  0.250  0.250  0.250
Sc  0.750  0.750  0.750
Hf  0.500  0.500  0.500
Tb  0.000  0.000  0.000

The calculation puts the formation energy at 0.19 eV per atom. As for the symmetry: Fm-3m, No. 225. The distance to the lowest polymorph of the same formula is 144 meV/atom.

=====

(4)
VASP calculation (PBE) on a relaxed Tb2Pu3UN6 crystal.

a b c (Å): 6.029 6.029 6.031
angles (deg): 99.61 99.61 119.97
Last column: magnetic moment on the atom in μB.
Fractional positions:
Tb  0.334  0.666  0.000  0.13
Tb  0.666  0.334  0.000  0.13
Pu  0.169  0.831  0.500  4.90
Pu  0.831  0.169  0.500  4.90
Pu  0.500  0.500  0.500  4.89
U  0.000  0.000  0.000  1.23
N  0.919  0.603  0.758  -0.14
N  0.766  0.766  0.244  -0.13
N  0.081  0.397  0.242  -0.14
N  0.603  0.919  0.758  -0.14
N  0.234  0.234  0.756  -0.13
N  0.397  0.081  0.242  -0.14

The uncorrected formation energy is -137 kJ/mol of atoms. As for the symmetry: C2/m, No. 12.

=====

(5)
VASP calculation (PBE) on a relaxed LaZr2C crystal.

a b c (Å): 6.835 6.835 6.802
angles (deg): 59.84 59.84 90.00
Fractional positions:
C  0.500  0.500  0.000
C  0.250  0.750  0.500
Zr  0.417  0.125  0.250
Zr  0.333  0.625  0.250
Zr  0.375  0.583  0.750
Zr  0.875  0.667  0.750
La  0.000  0.000  0.000
La  0.750  0.250  0.500

The calculation puts the formation energy at 0.26 eV per atom. As for the symmetry: I-42d, No. 122.

=====

(6)
VASP calculation (PBE) on a relaxed KLiF3 crystal.

a b c (Å): 7.019 4.206 6.812
angles (deg): 90.00 126.49 90.00
Last column: magnetic moment on the atom in μB.
Fractional positions:
K  0.640  0.250  0.818  0.00
K  0.360  0.750  0.182  0.00
Li  0.074  0.250  0.430  0.00
Li  0.926  0.750  0.570  0.00
F  0.781  0.000  0.266  0.09
F  0.219  0.000  0.734  0.09
F  0.781  0.500  0.266  0.09
F  0.219  0.500  0.734  0.09
F  0.244  0.250  0.315  0.00
F  0.756  0.750  0.685  0.00

The uncorrected formation energy is -218 kJ/mol of atoms. As for the symmetry: P2_1/m, No. 11. The distance to the lowest polymorph of the same formula is 45 meV/atom.

=====

(7)
VASP calculation (PBE) on a relaxed ScTc2Ni crystal.

a b c (Å): 4.614 2.958 4.553
angles (deg): 81.54 90.00 90.00
Fractional positions:
Ni  0.500  0.250  0.250
Sc  0.500  0.750  0.750
Tc  0.000  0.071  0.008
Tc  0.000  0.429  0.492

The calculation puts the formation energy at 0.03 eV per atom. As for the symmetry: P2/m, No. 10. The distance to the lowest polymorph of the same formula is 150 meV/atom.

=====

(8)
VASP calculation (PBE) on a relaxed KHg2Au2 crystal.

a b c (Å): 4.735 5.355 6.233
angles (deg): 108.38 112.32 90.00
Fractional positions:
K  0.000  0.000  0.000
Hg  0.363  0.443  0.725
Hg  0.637  0.557  0.275
Au  0.737  0.138  0.473
Au  0.263  0.862  0.527

The calculation puts the formation energy at -0.19 eV per atom. As for the symmetry: C2/m, No. 12. The distance to the lowest polymorph of the same formula is 4 meV/atom.

=====

(9)
VASP calculation (PBE) on a relaxed Pm2GaOsC crystal.

a b c (Å): 4.238 6.419 8.623
angles (deg): 110.01 90.00 90.00
Fractional positions:
Pm  0.750  0.774  0.619
Pm  0.750  0.776  0.028
Pm  0.250  0.226  0.381
Pm  0.250  0.224  0.972
Ga  0.250  0.706  0.301
Ga  0.750  0.294  0.699
Os  0.250  0.503  0.744
Os  0.750  0.497  0.256
C  0.250  0.813  0.831
C  0.750  0.187  0.169

The calculation puts the formation energy at -0.26 eV per atom. As for the symmetry: P2_1/m, No. 11.

=====

(10)
VASP calculation (PBE) on a relaxed Nb3H12Rh5 crystal.

a b c (Å): 9.532 9.532 9.532
angles (deg): 109.47 109.47 109.47
Fractional positions:
Nb  0.750  0.375  0.125
Nb  0.875  0.750  0.125
Nb  0.375  0.750  0.625
Nb  0.250  0.125  0.375
Nb  0.875  0.125  0.250
Nb  0.375  0.625  0.250
Nb  0.625  0.375  0.750
Nb  0.125  0.875  0.750
Nb  0.750  0.875  0.625
Nb  0.625  0.250  0.375
Nb  0.125  0.250  0.875
Nb  0.250  0.625  0.875
Rh  0.125  0.375  0.250
Rh  0.000  0.500  0.000
Rh  0.000  0.000  0.000
Rh  0.375  0.250  0.125
Rh  0.500  0.000  0.500
Rh  0.500  0.500  0.000
Rh  0.125  0.750  0.375
Rh  0.750  0.125  0.875
Rh  0.750  0.625  0.375
Rh  0.375  0.125  0.750
Rh  0.625  0.875  0.250
Rh  0.500  0.500  0.500
Rh  0.500  0.000  0.000
Rh  0.000  0.000  0.500
Rh  0.250  0.375  0.625
Rh  0.250  0.875  0.125
Rh  0.000  0.500  0.500
Rh  0.875  0.250  0.625
Rh  0.625  0.750  0.875
Rh  0.875  0.625  0.750
H  0.716  0.132  0.048
H  0.332  0.548  0.416
H  0.952  0.368  0.284
H  0.548  0.216  0.132
H  0.584  0.716  0.668
H  0.952  0.584  0.168
H  0.332  0.784  0.416
H  0.084  0.916  0.132
H  0.584  0.952  0.668
H  0.716  0.584  0.168
H  0.784  0.452  0.368
H  0.832  0.916  0.048
H  0.132  0.716  0.548
H  0.368  0.416  0.084
H  0.084  0.916  0.368
H  0.416  0.132  0.584
H  0.084  0.168  0.216
H  0.452  0.668  0.084
H  0.832  0.916  0.284
H  0.132  0.416  0.084
H  0.368  0.952  0.784
H  0.584  0.632  0.416
H  0.916  0.832  0.548
H  0.784  0.332  0.916
H  0.416  0.368  0.584
H  0.084  0.168  0.452
H  0.216  0.668  0.084
H  0.168  0.084  0.716
H  0.632  0.048  0.216
H  0.868  0.584  0.916
H  0.548  0.332  0.916
H  0.584  0.868  0.416
H  0.916  0.832  0.784
H  0.916  0.084  0.632
H  0.868  0.284  0.452
H  0.168  0.084  0.952
H  0.632  0.584  0.916
H  0.416  0.048  0.332
H  0.284  0.416  0.832
H  0.216  0.548  0.632
H  0.916  0.084  0.868
H  0.668  0.216  0.584
H  0.452  0.784  0.868
H  0.048  0.416  0.832
H  0.416  0.284  0.332
H  0.048  0.632  0.716
H  0.668  0.452  0.584
H  0.284  0.868  0.952

Its uncorrected energy is -5.389 eV/atom. As for the symmetry: Ia-3d, No. 230.

=====

(11)
VASP calculation (PBE) on a relaxed Cs4PaNb3O12 crystal.

a b c (Å): 7.350 7.350 7.350
angles (deg): 109.47 109.47 109.47
Fractional positions:
Cs  0.500  0.500  0.500
Cs  0.000  0.000  0.500
Cs  0.500  0.000  0.000
Cs  0.000  0.500  0.000
Pa  0.000  0.000  0.000
Nb  0.500  0.000  0.500
Nb  0.500  0.500  0.000
Nb  0.000  0.500  0.500
O  0.250  0.500  0.750
O  0.739  0.000  0.739
O  0.261  0.000  0.261
O  0.750  0.500  0.250
O  0.739  0.739  0.000
O  0.261  0.261  0.000
O  0.750  0.250  0.500
O  0.250  0.750  0.500
O  0.500  0.250  0.750
O  0.000  0.739  0.739
O  0.500  0.750  0.250
O  0.000  0.261  0.261

The uncorrected formation energy is -231 kJ/mol of atoms. As for the symmetry: Im-3m, No. 229.

=====

(12)
VASP calculation (PBE) on a relaxed SiNiRh2 crystal.

a b c (Å): 4.290 4.290 2.808
angles (deg): 90.00 90.00 99.94
Fractional positions:
Ni  0.000  0.500  0.500
Si  0.500  0.000  0.500
Rh  0.000  0.000  0.000
Rh  0.500  0.500  0.000

The uncorrected formation energy is -43 kJ/mol of atoms. As for the symmetry: Cmmm, No. 65.

=====

Table of Fermi-level density of states (states/eV/cell), in record order: 2.3, 16.5, 7.8, 16.4, 9.0, 8.0, 3.2, 1.3, 7.3, 52.3, 0.0, 3.5